[1]
Density functional theory data (GGA-PBE) for a geometry-optimized Pr4PS2N structure.

Properties
E_tot = -54.72 eV/f.u.
Formation energy from raw total energies = -1.701 eV per atom

a b c (Å): 6.955 4.003 7.093
angles (deg): 90.00 108.94 90.00
Positions (direct):
Pr 0.224 0.000 0.220
Pr 0.238 0.500 0.770
Pr 0.762 0.500 0.230
Pr 0.776 0.000 0.780
P 0.500 0.000 0.000
S 0.000 0.000 0.500
S 0.500 0.500 0.500
N 0.000 0.500 0.000

[2]
Density functional theory data (GGA-PBE) for a geometry-optimized Pr8P3S4N structure.

Properties
E_tot = -107.37 eV/f.u.
Formation energy from raw total energies = -1.755 eV per atom

a b c (Å): 8.245 8.245 8.245
angles (deg): 59.42 59.42 59.42
Positions (direct):
Pr 0.248 0.248 0.248
Pr 0.261 0.735 0.735
Pr 0.265 0.265 0.739
Pr 0.265 0.739 0.265
Pr 0.735 0.261 0.735
Pr 0.735 0.735 0.261
Pr 0.739 0.265 0.265
Pr 0.752 0.752 0.752
P 0.000 0.000 0.500
P 0.000 0.500 0.000
P 0.500 0.000 0.000
S 0.000 0.000 0.000
S 0.000 0.500 0.500
S 0.500 0.000 0.500
S 0.500 0.500 0.000
N 0.500 0.500 0.500

[3]
Density functional theory data (GGA-PBE) for a geometry-optimized Pr3SbPN structure.

Properties
E_tot = -39.58 eV/f.u.
Formation energy from raw total energies = -1.231 eV per atom

a b c (Å): 8.907 4.272 9.583
angles (deg): 90.00 102.57 90.00
Positions (direct):
Pr 0.073 0.250 0.348
Pr 0.336 0.250 0.982
Pr 0.390 0.750 0.659
Pr 0.610 0.250 0.341
Pr 0.664 0.750 0.018
Pr 0.927 0.750 0.652
Sb 0.315 0.750 0.279
Sb 0.685 0.250 0.721
P 0.154 0.250 0.650
P 0.846 0.750 0.350
N 0.409 0.750 0.899
N 0.591 0.250 0.101

[4]
Density functional theory data (GGA-PBE) for a geometry-optimized Pr4SbP2N structure.

Properties
E_tot = -52.73 eV/f.u.
Formation energy from raw total energies = -1.293 eV per atom

a b c (Å): 7.553 7.553 14.604
angles (deg): 90.00 90.00 148.08
Positions (direct):
Pr 0.000 0.000 0.000
Pr 0.000 0.000 0.500
Pr 0.256 0.744 0.623
Pr 0.256 0.744 0.877
Pr 0.424 0.576 0.250
Pr 0.576 0.424 0.750
Pr 0.744 0.256 0.123
Pr 0.744 0.256 0.377
Sb 0.105 0.895 0.250
Sb 0.895 0.105 0.750
P 0.369 0.631 0.052
P 0.369 0.631 0.448
P 0.631 0.369 0.552
P 0.631 0.369 0.948
N 0.163 0.837 0.750
N 0.837 0.163 0.250

[5]
Density functional theory data (GGA-PBE) for a geometry-optimized Pr2ScP2N6 structure.

Properties
E_tot = -87.43 eV/f.u.
Formation energy from raw total energies = -0.979 eV per atom

a b c (Å): 6.461 6.461 6.461
angles (deg): 50.78 50.78 50.78
Positions (direct):
Pr 0.213 0.213 0.213
Pr 0.787 0.787 0.787
Sc 0.000 0.000 0.000
P 0.408 0.408 0.408
P 0.592 0.592 0.592
N 0.250 0.743 0.743
N 0.257 0.257 0.750
N 0.257 0.750 0.257
N 0.743 0.250 0.743
N 0.743 0.743 0.250
N 0.750 0.257 0.257

[6]
Density functional theory data (GGA-PBE) for a geometry-optimized Pr3ScP2N6 structure.

Properties
E_tot = -96.03 eV/f.u.
Formation energy from raw total energies = -1.215 eV per atom

a b c (Å): 5.619 5.619 6.366
angles (deg): 90.00 90.00 120.00
Positions (direct):
Pr 0.000 0.000 0.000
Pr 0.333 0.667 0.650
Pr 0.667 0.333 0.350
Sc 0.000 0.000 0.500
P 0.333 0.667 0.180
P 0.667 0.333 0.820
N 0.178 0.355 0.294
N 0.178 0.822 0.294
N 0.355 0.178 0.706
N 0.645 0.822 0.294
N 0.822 0.178 0.706
N 0.822 0.645 0.706

[7]
Density functional theory data (GGA-PBE) for a geometry-optimized Pr4PSe2N structure.

Properties
E_tot = -52.79 eV/f.u.
Formation energy from raw total energies = -1.622 eV per atom

a b c (Å): 7.029 4.053 7.318
angles (deg): 90.00 108.64 90.00
Positions (direct):
Pr 0.221 0.000 0.211
Pr 0.240 0.500 0.781
Pr 0.760 0.500 0.219
Pr 0.779 0.000 0.789
P 0.500 0.000 0.000
Se 0.000 0.000 0.500
Se 0.500 0.500 0.500
N 0.000 0.500 0.000

[8]
Density functional theory data (GGA-PBE) for a geometry-optimized Pr3PSeN structure.

Properties
E_tot = -40.33 eV/f.u.
Formation energy from raw total energies = -1.463 eV per atom

a b c (Å): 8.623 4.138 9.424
angles (deg): 90.00 100.11 90.00
Positions (direct):
Pr 0.083 0.250 0.346
Pr 0.326 0.250 0.984
Pr 0.391 0.750 0.657
Pr 0.609 0.250 0.343
Pr 0.674 0.750 0.016
Pr 0.917 0.750 0.654
P 0.153 0.250 0.653
P 0.847 0.750 0.347
Se 0.328 0.750 0.295
Se 0.672 0.250 0.705
N 0.411 0.750 0.899
N 0.589 0.250 0.101